Below is a relaxed structure of Y4GaRh3, with properties calculated at the PBE level.

```
Y4GaRh3
1.0
3.779 0.000 0.000
0.000 4.389 0.000
0.000 0.000 10.630
Y Ga Rh
4 1 3
Direct
0.000 0.000 0.000
0.000 0.500 0.270
0.500 0.000 0.481
0.500 0.500 0.777
0.000 0.000 0.701
0.000 0.500 0.562
0.500 0.000 0.218
0.500 0.500 0.044
```

Calculated values
electronic total energy	-57.1	eV for the cell shown